Density functional theory data (PBE with a Hubbard U) for crystalline UFeCoO6 at its relaxed geometry.

```
UFeCoO6
1.0
-3.685 1.511 -3.291
-1.235 -2.846 4.132
-1.192 7.360 4.713
U Fe Co O
2 2 2 12
direct
0.667 0.333 0.250
0.333 0.667 0.750
0.333 0.667 0.250
0.667 0.333 0.750
0.000 0.000 0.000
0.000 0.000 0.500
0.653 0.671 0.129
0.018 0.347 0.129
0.347 0.018 0.629
0.982 0.653 0.871
0.329 0.347 0.371
0.018 0.671 0.371
0.671 0.018 0.871
0.653 0.982 0.371
0.982 0.329 0.629
0.329 0.982 0.129
0.671 0.653 0.629
0.347 0.329 0.871
```

Values from the calculation:
volume = 203.89 Å³/cell
SG = P-31c, No. 163
E_tot = -7.4816 eV per atom